Computed, not measured: crystalline CaTm2Te4 at its relaxed geometry at the PBE level of DFT.

Summary:
SG: P2/m (10)
Crystal system: monoclinic
M_tot in μB per atom: 0.00
Excess energy over the best structure of this formula in the dataset in meV per atom: 0

a b c (Å): 4.3653 7.4634 7.7380
angles (deg): 72.36 90.00 90.00
Closest atoms and distances in Å follow each position.
Element x y z (fractional)
Ca 0.0000 0.5000 0.5000  6 Te 3.13-3.19
Tm 0.0000 0.0000 0.0000  6 Te 3.01-3.07
Tm 0.5000 0.5000 0.0000  6 Te 3.06-3.09
Te 0.5000 0.7619 0.2420  3 Tm 3.07-3.09, 2 Ca 3.19
Te 0.0000 0.2554 0.2349  3 Tm 3.01-3.06, 1 Ca 3.13
Te 0.5000 0.2381 0.7580  3 Tm 3.07-3.09, 2 Ca 3.19
Te 0.0000 0.7446 0.7651  3 Tm 3.01-3.06, 1 Ca 3.13

=====

Computed, not measured: crystalline Nd2DyHo2 at its relaxed geometry at the PBE level of DFT.

Summary:
DFT formation energy in eV per atom: 0.020
SG: C2/c (15)
Crystal system: monoclinic
M_tot in μB per atom: 0.00
Excess energy over the best structure of this formula in the dataset in meV per atom: 0

a b c (Å): 6.3300 8.5413 9.6515
angles (deg): 43.39 70.86 68.25
Closest atoms and distances in Å follow each position.
Element x y z (fractional)
Nd 0.7850 0.7525 0.8488  2 Dy 3.55-3.64, 5 Nd 3.57-3.66, 5 Ho 3.58-3.68
Nd 0.3863 0.7475 0.6512  2 Dy 3.55-3.64, 5 Nd 3.57-3.66, 5 Ho 3.58-3.68
Nd 0.2150 0.2475 0.1512  2 Dy 3.55-3.64, 5 Nd 3.57-3.66, 5 Ho 3.58-3.68
Nd 0.6137 0.2525 0.3488  2 Dy 3.55-3.64, 5 Nd 3.57-3.66, 5 Ho 3.58-3.68
Dy 0.5838 0.7500 0.2500  6 Ho 3.53-3.65, 4 Nd 3.55-3.64, 2 Dy 3.56
Dy 0.4162 0.2500 0.7500  6 Ho 3.53-3.65, 4 Nd 3.55-3.64, 2 Dy 3.56
Ho 0.8199 0.2431 0.9515  4 Ho 3.47-3.60, 3 Dy 3.53-3.65, 5 Nd 3.58-3.68
Ho 0.0145 0.2569 0.5485  4 Ho 3.47-3.60, 3 Dy 3.53-3.65, 5 Nd 3.58-3.68
Ho 0.1801 0.7569 0.0485  4 Ho 3.47-3.60, 3 Dy 3.53-3.65, 5 Nd 3.58-3.68
Ho 0.9855 0.7431 0.4515  4 Ho 3.47-3.60, 3 Dy 3.53-3.65, 5 Nd 3.58-3.68

=====

Computed, not measured: crystalline Li4BPd6 at its relaxed geometry at the PBE level of DFT.

Summary:
DFT formation energy in eV per atom: -0.396
SG: P4/mnc (128)
Crystal system: tetragonal
M_tot in μB per atom: 0.00

a b c (Å): 6.3183 6.3183 7.1781
angles (deg): 90.00 90.00 90.00
Closest atoms and distances in Å follow each position.
Element x y z (fractional)
Li 0.3652 0.1348 0.2500  1 Li 2.41, 6 Pd 2.48-2.56
Li 0.1348 0.6348 0.7500  1 Li 2.41, 6 Pd 2.48-2.56
Li 0.6348 0.8652 0.7500  1 Li 2.41, 6 Pd 2.48-2.56
Li 0.8652 0.3652 0.7500  1 Li 2.41, 6 Pd 2.48-2.56
Li 0.3652 0.1348 0.7500  1 Li 2.41, 6 Pd 2.48-2.56
Li 0.1348 0.6348 0.2500  1 Li 2.41, 6 Pd 2.48-2.56
Li 0.8652 0.3652 0.2500  1 Li 2.41, 6 Pd 2.48-2.56
Li 0.6348 0.8652 0.2500  1 Li 2.41, 6 Pd 2.48-2.56
B 0.5000 0.5000 0.0000  6 Pd 2.14-2.16
B 0.0000 0.0000 0.5000  6 Pd 2.14-2.16
Pd 0.3081 0.8513 0.5000  1 B 2.16
Pd 0.8081 0.6487 0.0000  1 B 2.16
Pd 0.6487 0.1919 0.0000  1 B 2.16
Pd 0.1487 0.3081 0.5000  1 B 2.16
Pd 0.0000 0.0000 0.2016  1 B 2.14
Pd 0.5000 0.5000 0.2984  1 B 2.14
Pd 0.3513 0.8081 0.0000  1 B 2.16
Pd 0.0000 0.0000 0.7984  1 B 2.14
Pd 0.1919 0.3513 0.0000  1 B 2.16
Pd 0.5000 0.5000 0.7016  1 B 2.14
Pd 0.8513 0.6919 0.5000  1 B 2.16
Pd 0.6919 0.1487 0.5000  1 B 2.16

=====

Computed, not measured: crystalline CaLaSiN3 at its relaxed geometry at the PBE level of DFT.

Summary:
SG: C2/m (12)
Crystal system: monoclinic
Uncorrected energy in eV/atom: -7.144
M_tot in μB per atom: 0.00

a b c (Å): 3.8301 6.6606 7.1976
angles (deg): 106.00 90.00 106.71
Closest atoms and distances in Å follow each position.
Element x y z (fractional)
Ca 0.6491 0.2982 0.5702  7 N 2.51-2.62
Ca 0.3509 0.7018 0.4298  7 N 2.51-2.62
La 0.3502 0.7004 0.9177  7 N 2.47-2.70
La 0.6498 0.2996 0.0823  7 N 2.47-2.70
Si 0.9991 0.9983 0.2582  4 N 1.79-1.92
Si 0.0009 0.0017 0.7418  4 N 1.79-1.92
N 0.8516 0.7031 0.1819  1 Si 1.80
N 0.8542 0.7085 0.6717  1 Si 1.79
N 0.4976 0.9952 0.2498  2 Si 1.92
N 0.1458 0.2915 0.3283  1 Si 1.79
N 0.5024 0.0048 0.7502  2 Si 1.92
N 0.1484 0.2969 0.8181  1 Si 1.80

=====

Computed, not measured: crystalline Mg2TlBr at its relaxed geometry at the PBE level of DFT.

Summary:
SG: I-42d (122)
Crystal system: tetragonal
M_tot in μB per atom: 0.00
Excess energy over the best structure of this formula in the dataset in meV per atom: 174

a b c (Å): 7.3307 7.3307 7.0155
angles (deg): 58.50 58.50 90.00
Closest atoms and distances in Å follow each position.
Element x y z (fractional)
Tl 0.0000 0.0000 0.0000  4 Mg 2.88
Tl 0.7500 0.2500 0.5000  4 Mg 2.88
Mg 0.6182 0.1250 0.2500  2 Br 2.82, 2 Tl 2.88
Mg 0.1318 0.6250 0.2500  2 Br 2.82, 2 Tl 2.88
Mg 0.3750 0.3818 0.7500  2 Br 2.82, 2 Tl 2.88
Mg 0.8750 0.8682 0.7500  2 Br 2.82, 2 Tl 2.88
Br 0.5000 0.5000 0.0000  4 Mg 2.82
Br 0.2500 0.7500 0.5000  4 Mg 2.82

=====

Computed, not measured: crystalline Rb3Sn2PbBr9 at its relaxed geometry at the PBE level of DFT.

Summary:
SG: P-3m1 (164)
Crystal system: trigonal
Uncorrected energy in eV/atom: -3.163
M_tot in μB per atom: 0.00

a b c (Å): 8.3433 8.3433 10.2113
angles (deg): 90.00 90.00 120.00
Closest atoms and distances in Å follow each position.
Element x y z (fractional)
Rb 0.3333 0.6667 0.6685  12 Br 4.15-4.19
Rb 0.0000 0.0000 0.0000  12 Br 4.16-4.17
Rb 0.6667 0.3333 0.3315  12 Br 4.15-4.19
Sn 0.3333 0.6667 0.1641  6 Br 2.93
Sn 0.6667 0.3333 0.8359  6 Br 2.93
Pb 0.0000 0.0000 0.5000  6 Br 2.99
Br 0.8314 0.1686 0.6694  1 Sn 2.93, 1 Pb 2.99
Br 0.8314 0.6628 0.6694  1 Sn 2.93, 1 Pb 2.99
Br 0.3372 0.1686 0.6694  1 Sn 2.93, 1 Pb 2.99
Br 0.6628 0.8314 0.3306  1 Sn 2.93, 1 Pb 2.99
Br 0.1686 0.3372 0.3306  1 Sn 2.93, 1 Pb 2.99
Br 0.1686 0.8314 0.3306  1 Sn 2.93, 1 Pb 2.99
Br 0.5000 0.0000 0.0000  2 Sn 2.93
Br 0.0000 0.5000 0.0000  2 Sn 2.93
Br 0.5000 0.5000 0.0000  2 Sn 2.93

=====

Computed, not measured: crystalline AlCd2 at its relaxed geometry at the PBE level of DFT.

Summary:
DFT formation energy in eV per atom: 0.162
SG: P-62m (189)
Crystal system: hexagonal
M_tot in μB per atom: 0.00

a b c (Å): 8.7450 8.7450 2.9203
angles (deg): 90.00 90.00 120.00
Closest atoms and distances in Å follow each position.
Element x y z (fractional)
Al 0.3333 0.6667 0.0000  2 Al 2.92, 9 Cd 3.10-3.12
Al 0.6667 0.3333 0.0000  2 Al 2.92, 9 Cd 3.10-3.12
Al 0.0000 0.0000 0.5000  2 Al 2.92, 6 Cd 2.92
Cd 0.2897 0.0000 0.0000  4 Cd 2.92-3.23, 4 Al 2.92-3.12
Cd 0.0000 0.2897 0.0000  4 Cd 2.92-3.23, 4 Al 2.92-3.12
Cd 0.7103 0.7103 0.0000  4 Cd 2.92-3.23, 4 Al 2.92-3.12
Cd 0.6190 0.0000 0.5000  4 Cd 2.92-3.23, 4 Al 3.10
Cd 0.0000 0.6190 0.5000  4 Cd 2.92-3.23, 4 Al 3.10
Cd 0.3810 0.3810 0.5000  4 Cd 2.92-3.23, 4 Al 3.10

=====

Computed, not measured: crystalline Ac8PmSm5 at its relaxed geometry at the PBE level of DFT.

Summary:
DFT formation energy in eV per atom: 0.245
SG: P1 (1)
Crystal system: triclinic
M_tot in μB per atom: 0.00

a b c (Å): 9.0904 9.1017 9.0906
angles (deg): 111.18 106.17 111.19
Closest atoms and distances in Å follow each position.
Element x y z (fractional)
Ac 0.1662 0.7287 0.0682  1 Pm 3.37, 4 Sm 3.41-3.72
Ac 0.9318 0.0979 0.6606  1 Pm 3.37, 4 Sm 3.42-3.72
Ac 0.7329 0.2585 0.3380  5 Sm 3.58-3.88, 3 Ac 3.83-3.95
Ac 0.6622 0.3948 0.9208  5 Sm 3.58-3.88, 4 Ac 3.83-4.00
Ac 0.5255 0.6050 0.2676  5 Sm 3.58-3.88, 4 Ac 3.83-4.01
Ac 0.5624 0.9024 0.8330  1 Pm 3.36, 4 Sm 3.41-3.71
Ac 0.3397 0.2704 0.4373  1 Pm 3.36, 4 Sm 3.41-3.71
Ac 0.0792 0.7419 0.4741  5 Sm 3.58-3.88, 4 Ac 3.83-4.00
Pm 0.2506 0.5002 0.7499  4 Ac 3.36-3.37
Sm 0.0281 0.3002 0.1264  8 Ac 3.57-3.92, 2 Sm 3.62
Sm 0.8736 0.9019 0.1739  8 Ac 3.57-3.92, 2 Sm 3.61-3.62
Sm 0.8254 0.7001 0.7280  8 Ac 3.57-3.91, 2 Sm 3.61
Sm 0.5003 0.0002 0.4999  8 Ac 3.41-3.58
Sm 0.2720 0.0978 0.9724  8 Ac 3.57-3.92, 2 Sm 3.61-3.62

=====

Computed, not measured: crystalline Ac2PaSb3Rh4 at its relaxed geometry at the PBE level of DFT.

Summary:
SG: P-4m2 (115)
Crystal system: tetragonal
Uncorrected energy in eV/atom: -6.785
M_tot in μB per atom: 0.00

a b c (Å): 4.6261 4.6261 11.0164
angles (deg): 90.00 90.00 90.00
Closest atoms and distances in Å follow each position.
Element x y z (fractional)
Ac 0.5000 0.0000 0.2270  8 Rh 3.41-3.62, 6 Sb 3.46-3.79, 2 Pa 3.79
Ac 0.0000 0.5000 0.7730  8 Rh 3.41-3.62, 6 Sb 3.46-3.79, 2 Pa 3.79
Pa 0.5000 0.5000 0.5000  4 Rh 2.74
Sb 0.0000 0.0000 0.5000  4 Rh 2.74
Sb 0.5000 0.0000 0.8752  5 Rh 2.67-2.69
Sb 0.0000 0.5000 0.1248  5 Rh 2.67-2.69
Rh 0.5000 0.5000 0.0000  4 Sb 2.69
Rh 0.0000 0.0000 0.0000  4 Sb 2.69
Rh 0.5000 0.0000 0.6331  3 Sb 2.67-2.74, 2 Pa 2.74
Rh 0.0000 0.5000 0.3669  3 Sb 2.67-2.74, 2 Pa 2.74